! RbFeW2O8 PBE with a Hubbard U relaxed; values from VASP
! DOS at the Fermi energy in states/eV/atom: 0.2810
! Crystal system: trigonal
! Space group: P-3, No. 147
! VASP energy in eV per atom: -6.6920
&SYSTEM
  ibrav = 0, nat = 12, ntyp = 4
/
ATOMIC_SPECIES
Rb 85.47 Rb.upf
Fe 55.84 Fe.upf
W 183.84 W.upf
O 16.00 O.upf
CELL_PARAMETERS angstrom
5.591 0.000 0.000
-2.795 4.842 0.000
0.000 0.000 7.959
ATOMIC_POSITIONS crystal
Rb 0.000 0.000 0.000
Fe 0.000 0.000 0.500
W 0.333 0.667 0.710
W 0.667 0.333 0.290
O 0.087 0.315 0.643
O 0.228 0.913 0.643
O 0.315 0.228 0.357
O 0.333 0.667 0.933
O 0.667 0.333 0.067
O 0.685 0.772 0.643
O 0.772 0.087 0.357
O 0.913 0.685 0.357